[1]
A relaxed structure of NaCuRu3, computed with PBE.

Calculated formation energy   2482 meV per atom
Polymorph energy (0 for the lowest one)   871.1 meV/atom

```
data_NaCuRu3
_space_group_name_H-M_alt 'P m -3 m'
_space_group_IT_number 221
_space_group_name_Hall '-P 4 2 3'
_cell_length_a 4.531
_cell_length_b 4.531
_cell_length_c 4.531
_cell_angle_alpha 90.00
_cell_angle_beta 90.00
_cell_angle_gamma 90.00
loop_
_atom_site_label
_atom_site_fract_x
_atom_site_fract_y
_atom_site_fract_z
Na1 0.000 0.000 0.000
Cu1 0.500 0.500 0.500
Ru1 0.000 0.000 0.500
```

=====

[2]
A relaxed structure of NaCu3Ru, computed with PBE.

Calculated formation energy   900 meV per atom
Polymorph energy (0 for the lowest one)   0.0 meV/atom

```
data_NaCu3Ru
_space_group_name_H-M_alt 'P m -3 m'
_space_group_IT_number 221
_space_group_name_Hall '-P 4 2 3'
_cell_length_a 4.727
_cell_length_b 4.727
_cell_length_c 4.727
_cell_angle_alpha 90.00
_cell_angle_beta 90.00
_cell_angle_gamma 90.00
loop_
_atom_site_label
_atom_site_fract_x
_atom_site_fract_y
_atom_site_fract_z
Na1 0.000 0.000 0.000
Cu1 0.000 0.500 0.500
Ru1 0.500 0.500 0.500
```

=====

[3]
A relaxed structure of NaCuRu2, computed with PBE.

Calculated formation energy   996 meV per atom
Polymorph energy (0 for the lowest one)   86.6 meV/atom

```
data_NaCuRu2
_space_group_name_H-M_alt 'F m -3 m'
_space_group_IT_number 225
_space_group_name_Hall '-F 4 2 3'
_cell_length_a 6.191
_cell_length_b 6.191
_cell_length_c 6.191
_cell_angle_alpha 90.00
_cell_angle_beta 90.00
_cell_angle_gamma 90.00
loop_
_atom_site_label
_atom_site_fract_x
_atom_site_fract_y
_atom_site_fract_z
Na1 0.000 0.000 0.000
Cu1 0.000 0.000 0.500
Ru1 0.250 0.250 0.250
```

=====

[4]
A relaxed structure of NaCu2Ru2, computed with PBE.

Calculated formation energy   416 meV per atom
Polymorph energy (0 for the lowest one)   0.0 meV/atom

```
data_NaCu2Ru2
_space_group_name_H-M_alt 'P 4/m b m'
_space_group_IT_number 127
_space_group_name_Hall '-P 4 2ab'
_cell_length_a 7.852
_cell_length_b 7.852
_cell_length_c 2.500
_cell_angle_alpha 90.00
_cell_angle_beta 90.00
_cell_angle_gamma 90.00
loop_
_atom_site_label
_atom_site_fract_x
_atom_site_fract_y
_atom_site_fract_z
Na1 0.000 0.000 0.000
Cu1 0.178 0.322 0.500
Ru1 0.117 0.617 0.000
```

=====

[5]
A relaxed structure of NaCu2RuS, computed with PBE.

Uncorrected formation energy   1257 meV/atom

```
data_NaCu2RuS
_space_group_name_H-M_alt 'P 4/m m m'
_space_group_IT_number 123
_space_group_name_Hall '-P 4 2'
_cell_length_a 4.642
_cell_length_b 4.642
_cell_length_c 5.436
_cell_angle_alpha 90.00
_cell_angle_beta 90.00
_cell_angle_gamma 90.00
loop_
_atom_site_label
_atom_site_fract_x
_atom_site_fract_y
_atom_site_fract_z
Na1 0.000 0.000 0.000
Cu1 0.000 0.500 0.500
Ru1 0.000 0.000 0.500
S1 0.500 0.500 0.000
```

=====

[6]
A relaxed structure of NaCuS2, computed with PBE.

Uncorrected formation energy   -372 meV/atom

```
data_NaCuS2
_space_group_name_H-M_alt 'I -4 2 d'
_space_group_IT_number 122
_space_group_name_Hall 'I -4 2bw'
_cell_length_a 6.929
_cell_length_b 6.929
_cell_length_c 6.219
_cell_angle_alpha 90.00
_cell_angle_beta 90.00
_cell_angle_gamma 90.00
loop_
_atom_site_label
_atom_site_fract_x
_atom_site_fract_y
_atom_site_fract_z
Na1 0.000 0.000 0.000
Cu1 0.000 0.000 0.500
S1 0.174 0.750 0.625
```

=====

[7]
A relaxed structure of NaCuS6, computed with PBE.

Uncorrected formation energy   -164 meV/atom

```
data_NaCuS6
_space_group_name_H-M_alt 'P -1'
_space_group_IT_number 2
_cell_length_a 4.730
_cell_length_b 6.746
_cell_length_c 7.090
_cell_angle_alpha 99.35
_cell_angle_beta 108.96
_cell_angle_gamma 98.09
loop_
_space_group_symop_operation_xyz
'x,y,z'
'-x,-y,-z'
loop_
_atom_site_label
_atom_site_fract_x
_atom_site_fract_y
_atom_site_fract_z
Na1 0.000 0.000 0.000
Cu1 0.500 0.500 0.000
S1 0.137 0.630 0.828
S2 0.211 0.053 0.645
S3 0.374 0.797 0.677
```

=====

[8]
A relaxed structure of Na2CuS2, computed with PBE.

Uncorrected formation energy   -551 meV/atom

```
data_Na2CuS2
_space_group_name_H-M_alt 'P 4/m b m'
_space_group_IT_number 127
_space_group_name_Hall '-P 4 2ab'
_cell_length_a 6.646
_cell_length_b 6.646
_cell_length_c 4.204
_cell_angle_alpha 90.00
_cell_angle_beta 90.00
_cell_angle_gamma 90.00
loop_
_atom_site_label
_atom_site_fract_x
_atom_site_fract_y
_atom_site_fract_z
Na1 0.145 0.355 0.000
Cu1 0.000 0.000 0.500
S1 0.173 0.673 0.500
```

=====

[9]
A relaxed structure of Na2CuS, computed with PBE.

Uncorrected formation energy   59 meV/atom

```
data_Na2CuS
_space_group_name_H-M_alt 'I -4 2 d'
_space_group_IT_number 122
_space_group_name_Hall 'I -4 2bw'
_cell_length_a 4.468
_cell_length_b 4.468
_cell_length_c 17.996
_cell_angle_alpha 90.00
_cell_angle_beta 90.00
_cell_angle_gamma 90.00
loop_
_atom_site_label
_atom_site_fract_x
_atom_site_fract_y
_atom_site_fract_z
Na1 0.227 0.250 0.125
Cu1 0.000 0.000 0.500
S1 0.000 0.000 0.000
```

=====

[10]
A relaxed structure of Na3Cu4S4, computed with PBE.

Uncorrected formation energy   -624 meV/atom
Polymorph energy (0 for the lowest one)   0.0 meV/atom

```
data_Na3Cu4S4
_space_group_name_H-M_alt 'P b a m'
_space_group_IT_number 55
_cell_length_a 7.352
_cell_length_b 14.520
_cell_length_c 3.719
_cell_angle_alpha 90.00
_cell_angle_beta 90.00
_cell_angle_gamma 90.00
loop_
_space_group_symop_operation_xyz
'x,y,z'
'-x,-y,-z'
'-x,-y,z'
'x,y,-z'
'x+1/2,-y+1/2,-z'
'-x+1/2,y+1/2,z'
'-x+1/2,y+1/2,-z'
'x+1/2,-y+1/2,z'
loop_
_atom_site_label
_atom_site_fract_x
_atom_site_fract_y
_atom_site_fract_z
Na1 0.000 0.000 0.000
Na2 0.036 0.238 0.500
Cu1 0.089 0.415 0.000
Cu2 0.166 0.555 0.500
S1 0.201 0.648 0.000
S2 0.234 0.905 0.500
```

=====

[11]
A relaxed structure of Na2CuS2, computed with PBE.

Uncorrected formation energy   -646 meV/atom

```
data_Na2CuS2
_space_group_name_H-M_alt 'I m m m'
_space_group_IT_number 71
_space_group_name_Hall '-I 2 2'
_cell_length_a 3.507
_cell_length_b 5.314
_cell_length_c 12.163
_cell_angle_alpha 90.00
_cell_angle_beta 90.00
_cell_angle_gamma 90.00
loop_
_atom_site_label
_atom_site_fract_x
_atom_site_fract_y
_atom_site_fract_z
Na1 0.000 0.000 0.187
Cu1 0.000 0.000 0.500
S1 0.000 0.500 0.127
```

=====

[12]
A relaxed structure of NaCuS3, computed with PBE.

Uncorrected formation energy   92 meV/atom
Polymorph energy (0 for the lowest one)   369.4 meV/atom

```
data_NaCuS3
_space_group_name_H-M_alt 'P m -3 m'
_space_group_IT_number 221
_space_group_name_Hall '-P 4 2 3'
_cell_length_a 4.596
_cell_length_b 4.596
_cell_length_c 4.596
_cell_angle_alpha 90.00
_cell_angle_beta 90.00
_cell_angle_gamma 90.00
loop_
_atom_site_label
_atom_site_fract_x
_atom_site_fract_y
_atom_site_fract_z
Na1 0.000 0.000 0.000
Cu1 0.500 0.500 0.500
S1 0.000 0.500 0.500
```

=====

[13]
A relaxed structure of Na3Cu2S3, computed with PBE.

Uncorrected formation energy   -662 meV/atom

```
data_Na3Cu2S3
_space_group_name_H-M_alt 'C m c m'
_space_group_IT_number 63
_space_group_name_Hall '-C 2c 2'
_cell_length_a 3.889
_cell_length_b 11.844
_cell_length_c 13.165
_cell_angle_alpha 90.00
_cell_angle_beta 90.00
_cell_angle_gamma 90.00
loop_
_atom_site_label
_atom_site_fract_x
_atom_site_fract_y
_atom_site_fract_z
Na1 0.000 0.064 0.112
Na2 0.000 0.328 0.250
Cu1 0.000 0.236 0.587
S1 0.000 0.336 0.750
S2 0.000 0.366 0.051
```

=====

[14]
A relaxed structure of Na2CuS8, computed with PBE.

Uncorrected formation energy   -114 meV/atom

```
data_Na2CuS8
_space_group_name_H-M_alt 'C 1 2/m 1'
_space_group_IT_number 12
_cell_length_a 9.479
_cell_length_b 7.256
_cell_length_c 8.739
_cell_angle_alpha 90.00
_cell_angle_beta 100.53
_cell_angle_gamma 90.00
loop_
_space_group_symop_operation_xyz
'x,y,z'
'-x,-y,-z'
'-x,y,-z'
'x,-y,z'
'x+1/2,y+1/2,z'
'-x+1/2,-y+1/2,-z'
'-x+1/2,y+1/2,-z'
'x+1/2,-y+1/2,z'
loop_
_atom_site_label
_atom_site_fract_x
_atom_site_fract_y
_atom_site_fract_z
Na1 0.129 0.000 0.336
Cu1 0.000 0.500 0.500
S1 0.097 0.284 0.696
S2 0.160 0.500 0.860
S3 0.199 0.000 0.671
```

=====

[15]
A relaxed structure of NaCu3S2, computed with PBE.

Uncorrected formation energy   -414 meV/atom

```
data_NaCu3S2
_space_group_name_H-M_alt 'C 1 2/m 1'
_space_group_IT_number 12
_cell_length_a 14.576
_cell_length_b 3.850
_cell_length_c 8.182
_cell_angle_alpha 90.00
_cell_angle_beta 119.47
_cell_angle_gamma 90.00
loop_
_space_group_symop_operation_xyz
'x,y,z'
'-x,-y,-z'
'-x,y,-z'
'x,-y,z'
'x+1/2,y+1/2,z'
'-x+1/2,-y+1/2,-z'
'-x+1/2,y+1/2,-z'
'x+1/2,-y+1/2,z'
loop_
_atom_site_label
_atom_site_fract_x
_atom_site_fract_y
_atom_site_fract_z
Na1 0.136 0.000 0.051
Cu1 0.059 0.000 0.403
Cu2 0.101 0.500 0.651
Cu3 0.183 0.500 0.405
S1 0.004 0.500 0.215
S2 0.205 0.000 0.706
```

=====

[16]
A relaxed structure of NaCuS, computed with PBE.

Uncorrected formation energy   -244 meV/atom

```
data_NaCuS
_space_group_name_H-M_alt 'I 4 m m'
_space_group_IT_number 107
_space_group_name_Hall 'I 4 -2'
_cell_length_a 3.437
_cell_length_b 3.437
_cell_length_c 9.863
_cell_angle_alpha 90.00
_cell_angle_beta 90.00
_cell_angle_gamma 90.00
loop_
_atom_site_label
_atom_site_fract_x
_atom_site_fract_y
_atom_site_fract_z
Na1 0.000 0.000 0.000
Cu1 0.000 0.000 0.267
S1 0.000 0.000 0.726
```

=====

[17]
A relaxed structure of Na3CuS8, computed with PBE.

Uncorrected formation energy   -352 meV/atom

```
data_Na3CuS8
_space_group_name_H-M_alt 'C 1 m 1'
_space_group_IT_number 8
_cell_length_a 11.134
_cell_length_b 10.360
_cell_length_c 7.856
_cell_angle_alpha 90.00
_cell_angle_beta 132.99
_cell_angle_gamma 90.00
loop_
_space_group_symop_operation_xyz
'x,y,z'
'x,-y,z'
'x+1/2,y+1/2,z'
'x+1/2,-y+1/2,z'
loop_
_atom_site_label
_atom_site_fract_x
_atom_site_fract_y
_atom_site_fract_z
Na1 0.000 0.000 0.000
Na2 0.171 0.248 0.628
Cu1 0.126 0.500 0.082
S1 0.000 0.500 0.519
S2 0.200 0.500 0.873
S3 0.218 0.339 0.340
S4 0.279 0.000 0.476
S5 0.348 0.000 0.792
S6 0.449 0.369 0.643
```

=====

[18]
A relaxed structure of NaCuS3, computed with PBE.

Uncorrected formation energy   -277 meV/atom
Polymorph energy (0 for the lowest one)   0.0 meV/atom

```
data_NaCuS3
_space_group_name_H-M_alt 'P 1 21/c 1'
_space_group_IT_number 14
_cell_length_a 3.984
_cell_length_b 10.167
_cell_length_c 10.609
_cell_angle_alpha 90.00
_cell_angle_beta 108.30
_cell_angle_gamma 90.00
loop_
_space_group_symop_operation_xyz
'x,y,z'
'-x,-y,-z'
'-x,y+1/2,-z+1/2'
'x,-y+1/2,z+1/2'
loop_
_atom_site_label
_atom_site_fract_x
_atom_site_fract_y
_atom_site_fract_z
Na1 0.139 0.175 0.022
Cu1 0.359 0.501 0.813
S1 0.188 0.566 0.001
S2 0.236 0.520 0.318
S3 0.431 0.172 0.806
```

=====

[19]
A relaxed structure of Na3Cu4S4, computed with PBE.

Uncorrected formation energy   -550 meV/atom
Polymorph energy (0 for the lowest one)   74.5 meV/atom

```
data_Na3Cu4S4
_space_group_name_H-M_alt 'I m m m'
_space_group_IT_number 71
_space_group_name_Hall '-I 2 2'
_cell_length_a 3.905
_cell_length_b 4.024
_cell_length_c 25.323
_cell_angle_alpha 90.00
_cell_angle_beta 90.00
_cell_angle_gamma 90.00
loop_
_atom_site_label
_atom_site_fract_x
_atom_site_fract_y
_atom_site_fract_z
Na1 0.000 0.000 0.000
Na2 0.000 0.500 0.353
Cu1 0.000 0.000 0.253
Cu2 0.000 0.500 0.106
S1 0.000 0.000 0.434
S2 0.000 0.500 0.196
```

=====

[20]
A relaxed structure of NaCuS2, computed with PBE.

Uncorrected formation energy   25 meV/atom

```
data_NaCuS2
_space_group_name_H-M_alt 'F m -3 m'
_space_group_IT_number 225
_space_group_name_Hall '-F 4 2 3'
_cell_length_a 6.398
_cell_length_b 6.398
_cell_length_c 6.398
_cell_angle_alpha 90.00
_cell_angle_beta 90.00
_cell_angle_gamma 90.00
loop_
_atom_site_label
_atom_site_fract_x
_atom_site_fract_y
_atom_site_fract_z
Na1 0.000 0.000 0.000
Cu1 0.000 0.000 0.500
S1 0.250 0.250 0.250
```